Record 1
The following is a DFT calculation (PBE-GGA) of Ac2CeZrN4 after structural relaxation.

Cell lengths 3.581, 6.198, 6.429 Å; angles 108.60, 90.00, 90.00 degrees
Positions (direct):
Ce1 0.500 0.500 0.000
Ac1 0.500 0.000 0.500
Ac2 0.000 0.500 0.500
N1 0.000 0.753 0.204
N2 0.500 0.224 0.205
N3 0.000 0.247 0.796
N4 0.500 0.776 0.795
Zr1 0.000 0.000 0.000

Output
- Formation energy without anion corrections: -1.29 eV/atom
- Mass density: 9.10 Mg/m³
- Crystal system: monoclinic
- Total energy: -8.29 eV/atom
- SG: P2/m

=====

Record 2
The following is a DFT calculation (PBE-GGA) of Ac3Ce2ZrN6 after structural relaxation.

Cell lengths 6.267, 6.267, 6.450 Å; angles 99.27, 99.27, 119.99 degrees
Positions (direct):
Ac1 0.166 0.834 0.500
Ac2 0.500 0.500 0.500
Ac3 0.834 0.166 0.500
Ce1 0.333 0.667 0.000
Ce2 0.667 0.333 0.000
N1 0.754 0.754 0.211
N2 0.069 0.385 0.205
N3 0.385 0.069 0.205
N4 0.246 0.246 0.789
N5 0.615 0.931 0.795
N6 0.931 0.615 0.795
Zr1 0.000 0.000 0.000

Output
- Formation energy without anion corrections: -1.29 eV/atom
- Mass density: 9.08 Mg/m³
- Crystal system: monoclinic
- Total energy: -8.18 eV/atom
- SG: C2/m

=====

Record 3
The following is a DFT calculation (PBE-GGA) of NaAcCe after structural relaxation.

Cell lengths 3.664, 3.664, 16.245 Å; angles 90.00, 90.00, 90.00 degrees
Positions (direct):
Na1 0.000 0.500 0.585
Na2 0.500 0.000 0.415
Ce1 0.500 0.000 0.065
Ce2 0.000 0.500 0.935
Ac1 0.000 0.500 0.226
Ac2 0.500 0.000 0.774

Output
- Mass density: 5.94 Mg/m³
- Formation energy from the elements: 120 meV per atom
- Crystal system: tetragonal
- Total energy: -3.67 eV/atom
- SG: P4/nmm

=====

Record 4
The following is a DFT calculation (PBE-GGA) of NaAc2Ce after structural relaxation.

Cell lengths 3.786, 3.786, 10.959 Å; angles 90.00, 90.00, 90.00 degrees
Positions (direct):
Ac1 0.000 0.000 0.772
Ac2 0.000 0.000 0.228
Na1 0.500 0.500 0.500
Ce1 0.500 0.500 0.000

Output
- Relative energy among the computed polymorphs: 0 meV per atom
- Mass density: 6.52 Mg/m³
- Formation energy from the elements: 145 meV per atom
- Crystal system: tetragonal
- Total energy: -3.72 eV/atom
- SG: P4/mmm

=====

Record 5
The following is a DFT calculation (PBE-GGA) of NaAc2Ce after structural relaxation.

Cell lengths 3.778, 3.778, 13.502 Å; angles 81.96, 81.96, 60.00 degrees
Positions (direct):
Ce1 0.500 0.500 0.500
Ac1 0.908 0.908 0.277
Ac2 0.092 0.092 0.723
Na1 0.000 0.000 0.000

Output
- Relative energy among the computed polymorphs: 61 meV per atom
- Mass density: 6.22 Mg/m³
- Formation energy from the elements: 206 meV per atom
- Crystal system: trigonal
- Total energy: -3.66 eV/atom
- SG: R-3m

=====

Record 6
The following is a DFT calculation (PBE-GGA) of Na3Ac2CeO6 after structural relaxation.

Cell lengths 6.508, 6.508, 6.061 Å; angles 99.82, 99.82, 120.40 degrees
Positions (direct):
O1 0.750 0.750 0.218
O2 0.070 0.386 0.216
O3 0.614 0.930 0.784
O4 0.250 0.250 0.782
O5 0.386 0.070 0.216
O6 0.930 0.614 0.784
Na1 0.850 0.150 0.500
Na2 0.150 0.850 0.500
Na3 0.500 0.500 0.500
Ac1 0.668 0.332 0.000
Ac2 0.332 0.668 0.000
Ce1 0.000 0.000 0.000

Output
- Formation energy without anion corrections: -2.54 eV/atom
- Mass density: 6.06 Mg/m³
- Crystal system: monoclinic
- Total energy: -6.53 eV/atom
- SG: C2/m

=====

Record 7
The following is a DFT calculation (PBE-GGA) of NaAcCeO4 after structural relaxation.

Cell lengths 7.139, 7.365, 7.365 Å; angles 62.78, 61.01, 61.01 degrees
Positions (direct):
Ce1 0.500 0.000 0.500
Ce2 0.000 0.000 0.500
O1 0.256 0.218 0.718
O2 0.761 0.800 0.678
O3 0.744 0.782 0.282
O4 0.191 0.782 0.282
O5 0.761 0.178 0.300
O6 0.239 0.822 0.700
O7 0.239 0.200 0.322
O8 0.809 0.218 0.718
Na1 0.592 0.658 0.158
Na2 0.408 0.342 0.842
Ac1 0.000 0.500 0.500
Ac2 0.000 0.000 0.000

Output
- Formation energy without anion corrections: -2.89 eV/atom
- Mass density: 5.32 Mg/m³
- Crystal system: orthorhombic
- Total energy: -7.35 eV/atom
- SG: Imma

=====

Record 8
The following is a DFT calculation (PBE-GGA) of NaAc2CeO6 after structural relaxation.

Cell lengths 6.059, 6.239, 9.053 Å; angles 90.00, 87.40, 90.00 degrees
Positions (direct):
O1 0.806 0.779 0.905
O2 0.194 0.221 0.095
O3 0.711 0.312 0.941
O4 0.644 0.082 0.274
O5 0.856 0.582 0.226
O6 0.306 0.721 0.405
O7 0.789 0.812 0.559
O8 0.144 0.418 0.774
O9 0.289 0.688 0.059
O10 0.211 0.188 0.441
O11 0.356 0.918 0.726
O12 0.694 0.279 0.595
Ac1 0.972 0.054 0.740
Ac2 0.472 0.446 0.240
Ac3 0.528 0.554 0.760
Ac4 0.028 0.946 0.260
Ce1 0.000 0.500 0.000
Ce2 0.500 0.000 0.500
Na1 0.000 0.500 0.500
Na2 0.500 0.000 0.000

Output
- Formation energy without anion corrections: -2.83 eV/atom
- Mass density: 6.93 Mg/m³
- Crystal system: monoclinic
- Total energy: -7.35 eV/atom
- SG: P2_1/c

=====

Record 9
The following is a DFT calculation (PBE-GGA) of NaAcCe2Pb4 after structural relaxation.

Cell lengths 5.479, 5.479, 10.291 Å; angles 74.56, 74.56, 60.00 degrees
Positions (direct):
Ac1 0.000 0.000 0.000
Pb1 0.874 0.874 0.378
Pb2 0.126 0.126 0.622
Pb3 0.619 0.619 0.142
Pb4 0.381 0.381 0.858
Na1 0.500 0.500 0.500
Ce1 0.762 0.762 0.715
Ce2 0.238 0.238 0.285

Output
- Mass density: 8.86 Mg/m³
- Formation energy from the elements: -323 meV per atom
- Crystal system: trigonal
- Total energy: -4.34 eV/atom
- SG: R-3m

=====

Record 10
The following is a DFT calculation (PBE-GGA) of NaAcCePb after structural relaxation.

Cell lengths 5.713, 5.713, 5.713 Å; angles 60.00, 60.00, 60.00 degrees
Positions (direct):
Na1 0.250 0.250 0.250
Pb1 0.000 0.000 0.000
Ce1 0.750 0.750 0.750
Ac1 0.500 0.500 0.500

Output
- Mass density: 7.52 Mg/m³
- Formation energy from the elements: 133 meV per atom
- Crystal system: cubic
- Total energy: -3.63 eV/atom
- SG: F-43m

=====

Record 11
The following is a DFT calculation (PBE-GGA) of Na3AcCe2S6 after structural relaxation.

Cell lengths 7.316, 7.316, 7.107 Å; angles 99.89, 99.89, 120.01 degrees
Positions (direct):
S1 0.266 0.266 0.763
S2 0.577 0.922 0.766
S3 0.423 0.078 0.234
S4 0.922 0.577 0.766
S5 0.078 0.423 0.234
S6 0.734 0.734 0.237
Na1 0.500 0.500 0.500
Na2 0.168 0.832 0.500
Na3 0.832 0.168 0.500
Ce1 0.667 0.333 0.000
Ce2 0.333 0.667 0.000
Ac1 0.000 0.000 0.000

Output
- Formation energy without anion corrections: -1.75 eV/atom
- Mass density: 4.13 Mg/m³
- Crystal system: monoclinic
- Total energy: -5.48 eV/atom
- SG: C2/m

=====

Record 12
The following is a DFT calculation (PBE-GGA) of NaAc2CeS4 after structural relaxation.

Cell lengths 4.216, 7.225, 7.329 Å; angles 70.39, 90.00, 90.00 degrees
Positions (direct):
S1 0.000 0.739 0.750
S2 0.000 0.261 0.250
S3 0.500 0.265 0.744
S4 0.500 0.735 0.256
Ac1 0.500 0.000 0.500
Ac2 0.000 0.000 0.000
Ce1 0.000 0.500 0.500
Na1 0.500 0.500 0.000

Output
- Formation energy without anion corrections: -1.88 eV/atom
- Mass density: 5.88 Mg/m³
- Crystal system: monoclinic
- Total energy: -5.87 eV/atom
- SG: P2/m

=====

Record 13
The following is a DFT calculation (PBE-GGA) of Na4Ac3CeS8 after structural relaxation.

Cell lengths 8.637, 8.349, 8.635 Å; angles 121.15, 120.01, 90.00 degrees
Positions (direct):
Ac1 0.500 0.500 0.500
Ac2 0.500 0.500 0.000
Ac3 0.000 0.500 0.500
S1 0.241 0.737 0.996
S2 0.245 0.263 0.004
S3 0.748 0.742 0.495
S4 0.755 0.737 0.996
S5 0.759 0.263 0.004
S6 0.241 0.737 0.482
S7 0.759 0.263 0.518
S8 0.252 0.258 0.505
Na1 0.500 0.000 0.500
Na2 0.000 0.000 0.000
Na3 0.000 0.000 0.500
Na4 0.500 0.000 0.000
Ce1 0.000 0.500 0.000

Output
- Formation energy without anion corrections: -1.79 eV/atom
- Mass density: 4.49 Mg/m³
- Crystal system: trigonal
- Total energy: -5.32 eV/atom
- SG: R-3m

=====

Record 14
The following is a DFT calculation (PBE-GGA) of Na3Ac2CeSe6 after structural relaxation.

Cell lengths 4.451, 8.686, 9.761 Å; angles 100.81, 103.18, 90.00 degrees
Positions (direct):
Se1 0.333 0.420 0.666
Se2 0.000 0.765 0.999
Se3 0.339 0.921 0.678
Se4 0.667 0.580 0.334
Se5 0.000 0.235 0.001
Se6 0.661 0.079 0.322
Ac1 0.834 0.671 0.669
Ac2 0.166 0.329 0.331
Na1 0.165 0.832 0.329
Na2 0.500 0.500 0.000
Na3 0.835 0.168 0.671
Ce1 0.500 0.000 0.000

Output
- Formation energy without anion corrections: -1.69 eV/atom
- Mass density: 5.24 Mg/m³
- Crystal system: monoclinic
- Total energy: -4.94 eV/atom
- SG: C2/m

=====

Record 15
The following is a DFT calculation (PBE-GGA) of NaAcCe2Se4 after structural relaxation.

Cell lengths 4.284, 7.579, 7.387 Å; angles 70.98, 90.00, 90.00 degrees
Positions (direct):
Se1 0.000 0.240 0.260
Se2 0.000 0.760 0.740
Se3 0.500 0.759 0.251
Se4 0.500 0.241 0.749
Ce1 0.000 0.000 0.000
Ce2 0.500 0.000 0.500
Na1 0.000 0.500 0.500
Ac1 0.500 0.500 0.000

Output
- Formation energy without anion corrections: -1.73 eV/atom
- Mass density: 6.19 Mg/m³
- Crystal system: monoclinic
- Total energy: -5.63 eV/atom
- SG: P2/m

=====

Record 16
The following is a DFT calculation (PBE-GGA) of Na4AcCe3Se8 after structural relaxation.

Cell lengths 8.726, 8.605, 8.729 Å; angles 120.48, 119.99, 90.00 degrees
Positions (direct):
Se1 0.749 0.261 0.498
Se2 0.736 0.739 0.988
Se3 0.256 0.267 0.512
Se4 0.264 0.261 0.012
Se5 0.748 0.261 0.012
Se6 0.252 0.739 0.988
Se7 0.251 0.739 0.502
Se8 0.744 0.733 0.488
Na1 0.500 0.000 0.000
Na2 0.000 0.000 0.500
Na3 0.500 0.000 0.500
Na4 0.000 0.000 0.000
Ce1 0.500 0.500 0.000
Ce2 0.500 0.500 0.500
Ce3 0.000 0.500 0.500
Ac1 0.000 0.500 0.000

Output
- Formation energy without anion corrections: -1.64 eV/atom
- Mass density: 4.95 Mg/m³
- Crystal system: trigonal
- Total energy: -5.09 eV/atom
- SG: R-3m

=====

Record 17
The following is a DFT calculation (PBE-GGA) of NaAc2CeSe4 after structural relaxation.

Cell lengths 4.376, 7.508, 7.624 Å; angles 70.42, 90.00, 90.00 degrees
Positions (direct):
Ac1 0.000 0.000 0.000
Ac2 0.500 0.000 0.500
Na1 0.000 0.500 0.500
Ce1 0.500 0.500 0.000
Se1 0.000 0.735 0.755
Se2 0.000 0.265 0.245
Se3 0.500 0.738 0.252
Se4 0.500 0.262 0.748

Output
- Formation energy without anion corrections: -1.76 eV/atom
- Mass density: 6.56 Mg/m³
- Crystal system: monoclinic
- Total energy: -5.43 eV/atom
- SG: P2/m

=====

Record 18
The following is a DFT calculation (PBE-GGA) of Na2AcCeSe4 after structural relaxation.

Cell lengths 4.420, 7.654, 7.434 Å; angles 110.05, 90.00, 90.00 degrees
Positions (direct):
Ac1 0.000 0.000 0.000
Se1 0.500 0.257 0.243
Se2 0.000 0.736 0.237
Se3 0.000 0.264 0.763
Se4 0.500 0.743 0.757
Na1 0.500 0.000 0.500
Na2 0.000 0.500 0.500
Ce1 0.500 0.500 0.000

Output
- Formation energy without anion corrections: -1.67 eV/atom
- Mass density: 5.12 Mg/m³
- Crystal system: monoclinic
- Total energy: -4.99 eV/atom
- SG: P2/m

=====

Record 19
The following is a DFT calculation (PBE-GGA) of NaAc3Ce2Se6 after structural relaxation.

Cell lengths 7.562, 7.562, 7.526 Å; angles 99.66, 99.66, 120.06 degrees
Positions (direct):
Ac1 0.500 0.500 0.500
Ac2 0.835 0.165 0.500
Ac3 0.165 0.835 0.500
Ce1 0.334 0.666 0.000
Ce2 0.666 0.334 0.000
Se1 0.589 0.922 0.765
Se2 0.745 0.745 0.232
Se3 0.078 0.411 0.235
Se4 0.411 0.078 0.235
Se5 0.922 0.589 0.765
Se6 0.255 0.255 0.768
Na1 0.000 0.000 0.000

Output
- Formation energy without anion corrections: -1.78 eV/atom
- Mass density: 6.90 Mg/m³
- Crystal system: monoclinic
- Total energy: -5.64 eV/atom
- SG: C2/m

=====

Record 20
The following is a DFT calculation (PBE-GGA) of NaAcCeSn after structural relaxation.

Cell lengths 5.633, 5.633, 5.633 Å; angles 60.00, 60.00, 60.00 degrees
Positions (direct):
Ac1 0.000 0.000 0.000
Na1 0.250 0.250 0.250
Ce1 0.750 0.750 0.750
Sn1 0.500 0.500 0.500

Output
- Mass density: 6.69 Mg/m³
- Formation energy from the elements: 65 meV per atom
- Crystal system: cubic
- Total energy: -3.78 eV/atom
- SG: F-43m

=====

Record 21
The following is a DFT calculation (PBE-GGA) of Na2AcCeTe4 after structural relaxation.

Cell lengths 4.689, 8.119, 7.996 Å; angles 109.80, 90.00, 90.00 degrees
Positions (direct):
Te1 0.500 0.258 0.247
Te2 0.500 0.742 0.753
Te3 0.000 0.262 0.759
Te4 0.000 0.738 0.241
Ac1 0.000 0.000 0.000
Na1 0.000 0.500 0.500
Na2 0.500 0.000 0.500
Ce1 0.500 0.500 0.000

Output
- Formation energy without anion corrections: -1.32 eV/atom
- Mass density: 5.35 Mg/m³
- Crystal system: monoclinic
- Total energy: -4.48 eV/atom
- SG: P2/m

=====

Record 22
The following is a DFT calculation (PBE-GGA) of Na4Ac3CeTe8 after structural relaxation.

Cell lengths 9.471, 9.322, 9.470 Å; angles 120.56, 120.01, 90.00 degrees
Positions (direct):
Na1 0.500 0.000 0.000
Na2 0.500 0.000 0.500
Na3 0.000 0.000 0.000
Na4 0.000 0.000 0.500
Ac1 0.000 0.500 0.500
Ac2 0.500 0.500 0.000
Ac3 0.500 0.500 0.500
Te1 0.250 0.249 0.499
Te2 0.756 0.255 0.512
Te3 0.756 0.255 0.999
Te4 0.243 0.255 0.999
Te5 0.244 0.745 0.001
Te6 0.244 0.745 0.488
Te7 0.750 0.751 0.501
Te8 0.757 0.745 0.001
Ce1 0.000 0.500 0.000

Output
- Formation energy without anion corrections: -1.36 eV/atom
- Mass density: 5.48 Mg/m³
- Crystal system: trigonal
- Total energy: -4.40 eV/atom
- SG: R-3m

=====

Record 23
The following is a DFT calculation (PBE-GGA) of NaAcCeTl after structural relaxation.

Cell lengths 5.665, 5.665, 5.665 Å; angles 60.00, 60.00, 60.00 degrees
Positions (direct):
Na1 0.000 0.000 0.000
Ac1 0.250 0.250 0.250
Ce1 0.500 0.500 0.500
Tl1 0.750 0.750 0.750

Output
- Mass density: 7.68 Mg/m³
- Formation energy from the elements: 189 meV per atom
- Crystal system: cubic
- Total energy: -3.24 eV/atom
- SG: F-43m